No. 1
Compound: Y3ReHg
Source: the Alexandria database
Functional: SCAN
Structure: single point on PBEsol structure

Properties
space-group type = Pm-3m, No. 221
DFT formation energy = 0.130 eV/atom

```
Y3ReHg
1.0
5.3005 0.0000 0.0000
0.0000 5.3005 0.0000
0.0000 0.0000 5.3005
Y Hg Re
3 1 1
direct
0.0000 0.0000 0.5000
0.5000 0.0000 0.0000
0.0000 0.5000 0.0000
0.5000 0.5000 0.5000
0.0000 0.0000 0.0000
```



No. 2
Compound: YReHg4
Source: the Alexandria database
Functional: SCAN
Structure: single point on PBEsol structure

Properties
space-group type = F-43m, No. 216
DFT formation energy = 0.463 eV/atom

```
YReHg4
1.0
5.5698 0.0000 0.0000
2.7849 4.8236 0.0000
2.7849 1.6079 4.5477
Hg Re Y
4 1 1
direct
0.3755 0.8734 0.3755
0.3755 0.3755 0.3755
0.8734 0.3755 0.3755
0.3755 0.3755 0.8734
0.7500 0.7500 0.7500
0.0000 0.0000 0.0000
```



No. 3
Compound: Zn2ReHg
Source: the Alexandria database
Functional: SCAN
Structure: single point on PBEsol structure

Properties
space-group type = P4/mmm, No. 123
DFT formation energy = 0.407 eV/atom

```
Zn2ReHg
1.0
3.5512 0.0000 0.0000
0.0000 4.1150 0.0000
0.0000 0.0000 4.1150
Re Hg Zn
1 1 2
direct
0.5000 0.0000 0.0000
0.5000 0.5000 0.5000
0.0000 0.5000 0.0000
0.0000 0.0000 0.5000
```



No. 4
Compound: Zn2ReHg
Source: the Alexandria database
Functional: SCAN
Structure: single point on PBEsol structure

Properties
space-group type = Cmm2, No. 35
DFT formation energy = 0.446 eV/atom

```
Zn2ReHg
1.0
2.8250 0.0000 0.0000
-1.4125 2.4439 0.0000
0.0000 0.0000 9.2045
Hg Re Zn
1 1 2
direct
0.0000 0.0000 0.4950
0.5000 0.0000 0.7679
0.5000 0.0000 0.2334
0.0000 0.0000 0.0037
```



No. 5
Compound: Zn2ReHg
Source: the Alexandria database
Functional: SCAN
Structure: single point on PBEsol structure

Properties
space-group type = Cm, No. 8
DFT formation energy = 0.369 eV/atom

```
Zn2ReHg
1.0
-0.8001 -1.7332 -1.9987
0.7892 -3.7623 2.9467
-4.3096 2.8256 1.1859
Zn Re Hg
2 1 1
direct
0.9940 0.9039 0.9881
0.7475 0.3283 0.4950
0.2546 0.8508 0.5093
0.5038 0.4170 0.0076
```



No. 6
Compound: Zn3ReHg
Source: the Alexandria database
Functional: SCAN
Structure: single point on PBEsol structure

Properties
space-group type = Pm-3m, No. 221
DFT formation energy = 0.979 eV/atom

```
Zn3ReHg
1.0
-1.0187 0.2209 4.6981
0.0265 -4.8066 0.2317
4.7032 0.0749 1.0162
Hg Zn Re
1 3 1
direct
0.5000 0.5000 0.5000
0.0000 0.5000 0.0000
0.0000 0.0000 0.5000
0.5000 0.0000 0.0000
0.0000 0.0000 0.0000
```



Q: Among the records above, which one has the highest DFT formation energy?
A: Zn3ReHg